The following is a DFT calculation (PBE) of a geometry-optimized Li2Ca8In structure.

## Properties
The total DFT energy (no corrections) is -2.09 eV per atom.

```
data_Li2Ca8In
_chemical_formula_sum 'Li2 Ca8 In1'
_space_group_name_H-M_alt 'P 1'
_space_group_IT_number 1
_cell_length_a 5.474
_cell_length_b 9.265
_cell_length_c 9.382
_cell_angle_alpha 119.59
_cell_angle_beta 106.96
_cell_angle_gamma 90.00
loop_
_space_group_symop_operation_xyz
'x,y,z'
loop_
_atom_site_label
_atom_site_fract_x
_atom_site_fract_y
_atom_site_fract_z
In1 0.500 0.000 0.000
Ca1 0.000 0.691 0.000
Ca2 0.344 0.121 0.687
Ca3 0.864 0.864 0.729
Ca4 0.136 0.136 0.271
Li1 0.195 0.695 0.389
Ca5 0.656 0.879 0.313
Li2 0.805 0.305 0.611
Ca6 0.344 0.566 0.687
Ca7 0.000 0.309 0.000
Ca8 0.656 0.434 0.313
```



The following is a DFT calculation (PBE) of a geometry-optimized Li4CaIn2 structure.

## Properties
The total DFT energy (no corrections) is -2.39 eV per atom.

```
data_Li4CaIn2
_chemical_formula_sum 'Li8 Ca2 In4'
_space_group_name_H-M_alt 'P 1'
_space_group_IT_number 1
_cell_length_a 4.897
_cell_length_b 7.999
_cell_length_c 7.999
_cell_angle_alpha 90.00
_cell_angle_beta 90.00
_cell_angle_gamma 90.00
loop_
_space_group_symop_operation_xyz
'x,y,z'
loop_
_atom_site_label
_atom_site_fract_x
_atom_site_fract_y
_atom_site_fract_z
Li1 0.500 0.609 0.135
Li2 0.500 0.865 0.391
Li3 0.000 0.109 0.365
Li4 0.000 0.635 0.891
Li5 0.000 0.365 0.109
Li6 0.500 0.391 0.865
Ca1 0.000 0.500 0.500
Li7 0.500 0.135 0.609
In1 0.500 0.292 0.292
In2 0.000 0.792 0.208
Ca2 0.500 0.000 0.000
Li8 0.000 0.891 0.635
In3 0.500 0.708 0.708
In4 0.000 0.208 0.792
```



The following is a DFT calculation (PBE) of a geometry-optimized LiCaIn6 structure.

## Properties
The total DFT energy (no corrections) is -2.76 eV per atom. Its polymorph energy (0 for the lowest one) is 0 meV/atom.

```
data_LiCaIn6
_chemical_formula_sum 'Li1 Ca1 In6'
_space_group_name_H-M_alt 'P 1'
_space_group_IT_number 1
_cell_length_a 4.712
_cell_length_b 4.712
_cell_length_c 9.047
_cell_angle_alpha 90.00
_cell_angle_beta 90.00
_cell_angle_gamma 90.00
loop_
_space_group_symop_operation_xyz
'x,y,z'
loop_
_atom_site_label
_atom_site_fract_x
_atom_site_fract_y
_atom_site_fract_z
In1 0.500 0.500 0.000
In2 0.500 0.000 0.738
Li1 0.000 0.000 0.500
In3 0.000 0.500 0.738
In4 0.500 0.000 0.262
Ca1 0.000 0.000 0.000
In5 0.500 0.500 0.500
In6 0.000 0.500 0.262
```



| no. | size of the total moment (μB per formula unit) | energy of formation from the pure elements (kcal/mol of atoms) | Fermi-level density of states (states/eV per atom) |
| --- | --- | --- | --- |
| 1 | 0.00 | -0.8 | 0.85 |
| 2 | 0.00 | -5.2 | 0.49 |
| 3 | 0.00 | -4.9 | 0.65 |